Record 1
The following is a DFT calculation (PBE-GGA) of ScCd3Hg2 after structural relaxation.

Cell lengths 4.433, 6.777, 10.020 Å; angles 71.31, 81.85, 71.00 degrees
Atoms (fractional coordinates):
Sc 0.205 0.334 0.375
Sc 0.795 0.666 0.625
Cd 0.079 0.776 0.118
Cd 0.265 0.554 0.876
Cd 0.394 0.117 0.121
Cd 0.606 0.883 0.879
Cd 0.735 0.446 0.124
Cd 0.921 0.224 0.882
Hg 0.136 0.984 0.640
Hg 0.451 0.331 0.641
Hg 0.549 0.669 0.359
Hg 0.864 0.016 0.360

Properties
energy of formation from the pure elements = -0.13 eV per atom
calculated volume = 22.45 Å³ per atom
magnetization = 0.000 μB per formula unit
SG = P-1
N(E_F) = 0.374 states/eV per atom

Record 2
The following is a DFT calculation (PBE-GGA) of ScCdHg2 after structural relaxation.

Cell lengths 9.203, 9.203, 9.203 Å; angles 21.77, 21.77, 21.77 degrees
Atoms (fractional coordinates):
Sc 0.000 0.000 0.000
Cd 0.833 0.833 0.833
Hg 0.414 0.414 0.414
Hg 0.586 0.586 0.586

Properties
energy of formation from the pure elements = -0.16 eV per atom
calculated volume = 23.50 Å³ per atom
magnetization = 0.000 μB per formula unit
SG = R3m
N(E_F) = 0.461 states/eV per atom

Record 3
The following is a DFT calculation (PBE-GGA) of Sc4CdHg after structural relaxation.

Cell lengths 6.627, 6.627, 6.656 Å; angles 104.54, 104.54, 29.24 degrees
Atoms (fractional coordinates):
Sc 0.160 0.160 0.331
Sc 0.161 0.161 0.829
Sc 0.839 0.839 0.171
Sc 0.840 0.840 0.669
Cd 0.500 0.500 0.000
Hg 0.500 0.500 0.500

Properties
energy of formation from the pure elements = -0.23 eV per atom
calculated volume = 22.98 Å³ per atom
magnetization = 2.358 μB per formula unit
distance to the lowest polymorph of the same formula = 0.000 eV/atom
SG = C2/m
N(E_F) = 0.979 states/eV per atom

Record 4
The following is a DFT calculation (PBE-GGA) of Sc3Cd3Hg2 after structural relaxation.

Cell lengths 7.620, 7.620, 3.580 Å; angles 90.00, 90.00, 120.00 degrees
Atoms (fractional coordinates):
Sc 0.000 0.596 0.000
Sc 0.404 0.404 0.000
Sc 0.596 0.000 0.000
Cd 0.000 0.228 0.500
Cd 0.228 0.000 0.500
Cd 0.772 0.772 0.500
Hg 0.333 0.667 0.500
Hg 0.667 0.333 0.500

Properties
energy of formation from the pure elements = -0.27 eV per atom
calculated volume = 22.51 Å³ per atom
magnetization = 0.000 μB per formula unit
SG = P-62m
N(E_F) = 0.919 states/eV per atom

Record 5
The following is a DFT calculation (PBE-GGA) of SmScCdHg after structural relaxation.

Cell lengths 5.198, 5.198, 5.198 Å; angles 60.00, 60.00, 60.00 degrees
Atoms (fractional coordinates):
Sm 0.000 0.000 0.000
Sc 0.500 0.500 0.500
Cd 0.750 0.750 0.750
Hg 0.250 0.250 0.250

Properties
energy of formation from the pure elements = -0.36 eV per atom
calculated volume = 24.83 Å³ per atom
magnetization = 0.607 μB per formula unit
SG = F-43m
N(E_F) = 0.994 states/eV per atom

Record 6
The following is a DFT calculation (PBE-GGA) of ScCdSnHg after structural relaxation.

Cell lengths 4.262, 4.407, 4.771 Å; angles 90.00, 90.00, 90.00 degrees
Atoms (fractional coordinates):
Sc 0.000 0.000 0.000
Cd 0.000 0.500 0.500
Sn 0.500 0.500 0.000
Hg 0.500 0.000 0.500

Properties
energy of formation from the pure elements = -0.33 eV per atom
calculated volume = 22.40 Å³ per atom
magnetization = 0.000 μB per formula unit
distance to the lowest polymorph of the same formula = 0.000 eV/atom
SG = Pmmm
N(E_F) = 0.330 states/eV per atom

Record 7
The following is a DFT calculation (PBE-GGA) of ScCdSnHg after structural relaxation.

Cell lengths 5.082, 5.082, 5.082 Å; angles 60.00, 60.00, 60.00 degrees
Atoms (fractional coordinates):
Sc 0.000 0.000 0.000
Cd 0.500 0.500 0.500
Sn 0.750 0.750 0.750
Hg 0.250 0.250 0.250

Properties
energy of formation from the pure elements = -0.15 eV per atom
calculated volume = 23.20 Å³ per atom
magnetization = 0.000 μB per formula unit
distance to the lowest polymorph of the same formula = 0.176 eV/atom
SG = F-43m
N(E_F) = 0.906 states/eV per atom

Record 8
The following is a DFT calculation (PBE-GGA) of SrScCd2Hg after structural relaxation.

Cell lengths 5.387, 5.387, 5.867 Å; angles 90.00, 90.00, 90.00 degrees
Atoms (fractional coordinates):
Sr 0.000 0.000 0.000
Sc 0.500 0.500 0.000
Cd 0.000 0.500 0.500
Cd 0.500 0.000 0.500
Hg 0.000 0.000 0.500

Properties
energy of formation from the pure elements = 0.39 eV per atom
calculated volume = 34.05 Å³ per atom
magnetization = 0.001 μB per formula unit
SG = P4/mmm
N(E_F) = 1.402 states/eV per atom

Q: Which formula does entry 1 have?
A: ScCd3Hg2

Q: What is the formula in the sixth record?
A: ScCdSnHg

Q: Among the records above, which one has the highest energy of formation from the pure elements?
A: SrScCd2Hg

Q: What is the calculated volume in the second record?
A: 23.50 Å³ per atom